Entry 1:
First-principles (GGA-PBE) data for a relaxed structure of CeZn4Ni2, as listed in Alexandria via LeMat-Bulk.

Geometry as POSCAR:
```
CeZn4Ni2
1.0
7.304 0.000 0.000
0.000 7.304 0.000
0.000 0.000 4.132
Ce Zn Ni
2 8 4
Cartesian
0.000 0.000 0.000
3.652 3.652 2.066
0.645 2.506 2.066
1.146 4.297 0.000
2.506 0.645 2.066
3.007 6.157 0.000
4.297 1.146 0.000
4.798 6.658 2.066
6.157 3.007 0.000
6.658 4.798 2.066
1.708 5.596 2.066
1.944 1.944 0.000
5.359 5.359 0.000
5.596 1.708 2.066
```

## Properties
Spin magnetization in μB/atom: 0.080
Energy above the most stable polymorph in this dataset in eV per atom: 0.000
Crystal system: tetragonal
Electronic total energy in eV/atom: -3.5486


Entry 2:
First-principles (GGA-PBE) data for a relaxed structure of Ce2ZnNi, as listed in Alexandria via LeMat-Bulk.

Geometry as POSCAR:
```
Ce2ZnNi
1.0
1.513 0.874 10.773
-1.513 0.874 10.773
0.000 -1.747 10.773
Ce Zn Ni
2 1 1
Cartesian
0.000 0.000 3.143
0.000 0.000 29.175
0.000 0.000 0.000
0.000 0.000 16.159
```

## Properties
Spin magnetization in μB/atom: 0.000
Energy above the most stable polymorph in this dataset in eV per atom: 0.461
Crystal system: trigonal
Electronic total energy in eV/atom: -4.4940


Entry 3:
First-principles (GGA-PBE) data for a relaxed structure of Ce2Zn9Ni3, as listed in Alexandria via LeMat-Bulk.

Geometry as POSCAR:
```
Ce2Zn9Ni3
1.0
6.685 -3.646 0.000
6.685 3.646 0.000
-4.597 0.000 9.300
Ce Zn Ni
4 18 6
Cartesian
1.152 0.525 2.199
-1.147 -0.525 6.850
9.919 0.525 2.451
7.621 -0.525 7.101
5.490 2.898 0.822
5.581 2.898 3.829
1.186 0.643 5.261
4.097 1.218 2.386
1.008 0.586 8.904
3.237 1.129 6.975
3.485 -0.643 0.611
6.973 1.218 2.264
3.307 -0.586 4.254
5.465 0.586 5.046
1.799 -1.218 7.037
5.288 0.643 8.690
5.535 -1.129 2.325
7.764 -0.586 0.396
4.675 -1.218 6.914
7.586 -0.643 4.040
3.191 -2.898 5.472
3.283 -2.898 8.479
3.342 1.823 0.000
3.227 2.038 4.596
7.844 2.038 0.054
1.044 -1.823 4.650
0.929 -2.038 9.246
5.545 -2.038 4.705
```

## Properties
Spin magnetization in μB/atom: 0.038
Crystal system: monoclinic
Electronic total energy in eV/atom: -3.1629


DFT formation energy: -0.321; 0.237; -0.257 (eV per atom)